Entry from Alexandria via LeMat-Bulk: a relaxed Sr3Sb2O crystal (PBE).

POSCAR file:
```
Sr3Sb2O
1.0
10.078 0.000 0.000
0.000 11.224 0.000
0.000 0.000 3.644
Sr Sb O
6 4 2
direct
0.000 0.000 0.000
0.081 0.379 0.000
0.419 0.879 0.500
0.500 0.500 0.500
0.581 0.121 0.500
0.919 0.621 0.000
0.224 0.147 0.500
0.276 0.647 0.000
0.724 0.353 0.000
0.776 0.853 0.500
0.000 0.500 0.500
0.500 0.000 0.000
```

Calculated values
The value obtained for the volume is 34.4 Å³ per atom. As for the energy relative to the elements, uncorrected: -1.1854 eV/atom. The calculation puts the relative energy among the computed polymorphs at 320.2 meV/atom. The value obtained for the energy is -0.155 hartree per atom.



Entry from Alexandria via LeMat-Bulk: a relaxed Be2HPdRh crystal (PBE).

POSCAR file:
```
Be2HPdRh
1.0
3.892 0.000 0.000
0.000 3.892 0.000
0.000 0.000 3.231
Be H Pd Rh
2 1 1 1
direct
0.000 0.500 0.000
0.500 0.000 0.000
0.000 0.000 0.000
0.500 0.500 0.500
0.000 0.000 0.500
```

Calculated values
The value obtained for the volume is 9.8 Å³ per atom. The value obtained for the energy is -0.183 hartree per atom.



Entry from Alexandria via LeMat-Bulk: a relaxed Ac3ErTe4 crystal (PBE).

POSCAR file:
```
Ac3ErTe4
1.0
8.251 0.000 0.000
0.000 9.149 0.000
-2.539 0.000 7.462
Ac Er Te
6 2 8
direct
0.000 0.122 0.250
0.000 0.373 0.750
0.000 0.627 0.250
0.000 0.878 0.750
0.500 0.126 0.750
0.500 0.874 0.250
0.500 0.376 0.250
0.500 0.624 0.750
0.263 0.137 0.014
0.263 0.863 0.514
0.271 0.386 0.498
0.271 0.614 0.998
0.729 0.386 0.002
0.729 0.614 0.502
0.737 0.137 0.486
0.737 0.863 0.986
```

Calculated values
The value obtained for the volume is 35.2 Å³ per atom. As for the energy relative to the elements, uncorrected: -1.3964 eV/atom. The value obtained for the energy is -0.187 hartree per atom.